A | This record from Alexandria describes an optimized crystal structure of SrCo2Cu2. The functional is PBE.

The structure in CIF format:
```
data_SrCo2Cu2
_chemical_formula_sum 'Sr2 Co4 Cu4'
_cell_length_a 7.4657
_cell_length_b 7.4657
_cell_length_c 2.7629
_cell_angle_alpha 90.00
_cell_angle_beta 90.00
_cell_angle_gamma 90.00
_symmetry_space_group_name_H-M 'P 1'
_symmetry_Int_Tables_number 1
loop_
_symmetry_equiv_pos_as_xyz
'x,y,z'
loop_
_atom_site_label
_atom_site_type_symbol
_atom_site_fract_x
_atom_site_fract_y
_atom_site_fract_z
_atom_site_occupancy
Sr1 Sr 0.0000 0.0000 0.0000 1
Sr2 Sr 0.5000 0.5000 0.0000 1
Co1 Co 0.3907 0.8907 0.0000 1
Co2 Co 0.8907 0.6093 0.0000 1
Co3 Co 0.6093 0.1093 0.0000 1
Co4 Co 0.1093 0.3907 0.0000 1
Cu1 Cu 0.1766 0.6766 0.5000 1
Cu2 Cu 0.6766 0.8234 0.5000 1
Cu3 Cu 0.8234 0.3234 0.5000 1
Cu4 Cu 0.3234 0.1766 0.5000 1
```

Results
- Volume: 15.40 A^3/atom
- Fermi-level density of states: 8.30 states/eV per cell

=====

B | This record from Alexandria describes an optimized crystal structure of SrCo2Cu2. The functional is PBE.

The structure in CIF format:
```
data_SrCo2Cu2
_chemical_formula_sum 'Sr1 Co2 Cu2'
_cell_length_a 3.9082
_cell_length_b 3.9082
_cell_length_c 6.1895
_cell_angle_alpha 71.60
_cell_angle_beta 71.60
_cell_angle_gamma 90.00
_symmetry_space_group_name_H-M 'P 1'
_symmetry_Int_Tables_number 1
loop_
_symmetry_equiv_pos_as_xyz
'x,y,z'
loop_
_atom_site_label
_atom_site_type_symbol
_atom_site_fract_x
_atom_site_fract_y
_atom_site_fract_z
_atom_site_occupancy
Sr1 Sr 0.0000 0.0000 0.0000 1
Co1 Co 0.7500 0.2500 0.5000 1
Co2 Co 0.2500 0.7500 0.5000 1
Cu1 Cu 0.3835 0.3835 0.2329 1
Cu2 Cu 0.6165 0.6165 0.7671 1
```

Results
- Volume: 16.92 A^3/atom
- Fermi-level density of states: 5.58 states/eV per cell

=====

C | This record from Alexandria describes an optimized crystal structure of SrCo2Cu2. The functional is PBE.

The structure in CIF format:
```
data_SrCo2Cu2
_chemical_formula_sum 'Sr1 Co2 Cu2'
_cell_length_a 4.2001
_cell_length_b 4.2001
_cell_length_c 5.6716
_cell_angle_alpha 68.27
_cell_angle_beta 68.27
_cell_angle_gamma 90.00
_symmetry_space_group_name_H-M 'P 1'
_symmetry_Int_Tables_number 1
loop_
_symmetry_equiv_pos_as_xyz
'x,y,z'
loop_
_atom_site_label
_atom_site_type_symbol
_atom_site_fract_x
_atom_site_fract_y
_atom_site_fract_z
_atom_site_occupancy
Sr1 Sr 0.0000 0.0000 0.0000 1
Co1 Co 0.3863 0.3863 0.2275 1
Co2 Co 0.6137 0.6137 0.7725 1
Cu1 Cu 0.7500 0.2500 0.5000 1
Cu2 Cu 0.2500 0.7500 0.5000 1
```

Results
- Volume: 17.05 A^3/atom
- Fermi-level density of states: 8.22 states/eV per cell

=====

So which one is most stable? That would be C, about 0.005 eV/atom below the next structure.

=====

A | This record from Alexandria describes an optimized crystal structure of Sr2CoCu. The functional is PBE.

The structure in CIF format:
```
data_Sr2CoCu
_chemical_formula_sum 'Sr2 Co1 Cu1'
_cell_length_a 7.7637
_cell_length_b 7.7637
_cell_length_c 4.2404
_cell_angle_alpha 74.14
_cell_angle_beta 74.14
_cell_angle_gamma 31.21
_symmetry_space_group_name_H-M 'P 1'
_symmetry_Int_Tables_number 1
loop_
_symmetry_equiv_pos_as_xyz
'x,y,z'
loop_
_atom_site_label
_atom_site_type_symbol
_atom_site_fract_x
_atom_site_fract_y
_atom_site_fract_z
_atom_site_occupancy
Co1 Co 0.5909 0.5909 0.4090 1
Cu1 Cu 0.1627 0.1627 0.3377 1
Sr1 Sr 0.0031 0.0031 0.9968 1
Sr2 Sr 0.7432 0.7432 0.7565 1
```

Results
- Volume: 31.75 A^3/atom
- Fermi-level density of states: 6.58 states/eV per cell

=====

B | This record from Alexandria describes an optimized crystal structure of Sr2CoCu. The functional is PBE.

The structure in CIF format:
```
data_Sr2CoCu
_chemical_formula_sum 'Sr2 Co1 Cu1'
_cell_length_a 4.2679
_cell_length_b 4.2679
_cell_length_c 8.0558
_cell_angle_alpha 75.94
_cell_angle_beta 75.94
_cell_angle_gamma 57.30
_symmetry_space_group_name_H-M 'P 1'
_symmetry_Int_Tables_number 1
loop_
_symmetry_equiv_pos_as_xyz
'x,y,z'
loop_
_atom_site_label
_atom_site_type_symbol
_atom_site_fract_x
_atom_site_fract_y
_atom_site_fract_z
_atom_site_occupancy
Co1 Co 0.7500 0.7500 0.7500 1
Cu1 Cu 0.2500 0.2500 0.2500 1
Sr1 Sr 0.0039 0.0039 0.9879 1
Sr2 Sr 0.4961 0.4961 0.5121 1
```

Results
- Volume: 29.66 A^3/atom
- Fermi-level density of states: 3.56 states/eV per cell

=====

So which one is most stable? That would be A, about 0.235 eV/atom below the next structure.